1.
Computed, not measured: crystalline Mg2CuHRh at its relaxed geometry at the GGA-PBE level of DFT.

The structure in POSCAR format:
```
Mg2CuHRh
1.0
4.997 0.000 0.000
0.000 4.997 0.000
0.000 0.000 3.231
Mg Cu H Rh
2 1 1 1
direct
0.000 0.500 0.000
0.500 0.000 0.000
0.000 0.000 0.500
0.500 0.500 0.500
0.500 0.500 0.000
```

Computed properties:
SG: No. 123
Electronic total energy (eV/atom): -3.47
V (Å³ per cell): 80.7
Density of states at the Fermi level (states/eV/f.u.): 1.94
M_tot (μB per cell): 0.00

***

2.
Computed, not measured: crystalline KAg2Rh at its relaxed geometry at the GGA-PBE level of DFT.

The structure in POSCAR format:
```
KAg2Rh
1.0
9.376 0.000 0.000
0.000 2.858 0.000
-0.634 0.000 6.715
K Ag Rh
2 4 2
direct
0.000 0.000 0.000
0.500 0.500 0.000
0.236 0.000 0.678
0.264 0.500 0.322
0.736 0.500 0.678
0.764 0.000 0.322
0.000 0.500 0.500
0.500 0.000 0.500
```

Computed properties:
SG: No. 12
V (Å³ per cell): 179.9
Formation energy (eV per formula unit): 1.5
Density of states at the Fermi level (states/eV/f.u.): 1.61
M_tot (μB per cell): 1.10

***

3.
Computed, not measured: crystalline Y4MgAl2Zn at its relaxed geometry at the GGA-PBE level of DFT.

The structure in POSCAR format:
```
Y4MgAl2Zn
1.0
2.574 1.486 8.416
-2.574 1.486 8.416
0.000 -2.973 8.416
Y Mg Al Zn
4 1 2 1
direct
0.120 0.120 0.120
0.371 0.371 0.371
0.629 0.629 0.629
0.880 0.880 0.880
0.500 0.500 0.500
0.246 0.246 0.246
0.754 0.754 0.754
0.000 0.000 0.000
```

Computed properties:
SG: No. 166
V (Å³ per cell): 193.2
Formation energy (eV per formula unit): -2.9
Density of states at the Fermi level (states/eV/f.u.): 5.31
M_tot (μB per cell): 0.00

***

4.
Computed, not measured: crystalline Hf5Al2Sn at its relaxed geometry at the GGA-PBE level of DFT.

The structure in POSCAR format:
```
Hf5Al2Sn
1.0
-3.651 3.651 6.203
3.651 -3.651 6.203
3.651 3.651 -6.203
Hf Al Sn
10 4 2
direct
0.000 0.000 0.000
0.003 0.503 0.812
0.191 0.003 0.500
0.309 0.809 0.812
0.497 0.309 0.500
0.500 0.500 0.000
0.503 0.691 0.500
0.691 0.191 0.188
0.809 0.997 0.500
0.997 0.497 0.188
0.135 0.365 0.500
0.365 0.865 0.229
0.635 0.135 0.771
0.865 0.635 0.500
0.250 0.250 0.000
0.750 0.750 0.000
```

Computed properties:
SG: No. 140
V (Å³ per cell): 330.7
Formation energy (eV per formula unit): -2.5
Density of states at the Fermi level (states/eV/f.u.): 8.97
M_tot (μB per cell): 0.00

***

5.
Computed, not measured: crystalline NpURu at its relaxed geometry at the GGA-PBE level of DFT.

The structure in POSCAR format:
```
NpURu
1.0
3.329 0.000 0.000
-1.664 2.883 0.000
0.000 0.000 5.819
Np U Ru
1 1 1
direct
0.000 0.000 0.000
0.667 0.333 0.297
0.333 0.667 0.660
```

Computed properties:
SG: No. 156
V (Å³ per cell): 55.8
Formation energy (eV per formula unit): 0.3
Density of states at the Fermi level (states/eV/f.u.): 6.24
M_tot (μB per cell): 0.00

***

6.
Computed, not measured: crystalline Er3AgIr2 at its relaxed geometry at the GGA-PBE level of DFT.

The structure in POSCAR format:
```
Er3AgIr2
1.0
3.418 0.000 0.000
0.000 3.418 0.000
0.000 0.000 10.804
Er Ag Ir
3 1 2
direct
0.000 0.000 0.000
0.000 0.000 0.309
0.000 0.000 0.691
0.500 0.500 0.500
0.500 0.500 0.162
0.500 0.500 0.838
```

Computed properties:
SG: No. 123
V (Å³ per cell): 126.2
Formation energy (eV per formula unit): -4.4
Density of states at the Fermi level (states/eV/f.u.): 4.89
M_tot (μB per cell): 0.00

***

7.
Computed, not measured: crystalline TaNb2Br at its relaxed geometry at the GGA-PBE level of DFT.

The structure in POSCAR format:
```
TaNb2Br
1.0
4.003 0.000 0.000
0.000 4.003 0.000
0.000 0.000 19.642
Ta Nb Br
4 8 4
direct
0.000 0.000 0.000
0.000 0.500 0.250
0.500 0.000 0.750
0.500 0.500 0.500
0.249 0.250 0.125
0.250 0.749 0.375
0.250 0.751 0.875
0.251 0.250 0.625
0.749 0.750 0.625
0.750 0.249 0.875
0.750 0.251 0.375
0.751 0.750 0.125
0.000 0.000 0.500
0.000 0.500 0.750
0.500 0.000 0.250
0.500 0.500 0.000
```

Computed properties:
SG: No. 122
V (Å³ per cell): 314.8
Density of states at the Fermi level (states/eV/f.u.): 4.56
Formation energy without anion corrections (eV/f.u.): 3.66
M_tot (μB per cell): 0.00

***

8.
Computed, not measured: crystalline SmEr2Al2 at its relaxed geometry at the GGA-PBE level of DFT.

The structure in POSCAR format:
```
SmEr2Al2
1.0
5.576 0.000 0.000
0.000 3.704 0.000
-1.494 0.000 13.113
Sm Er Al
2 4 4
direct
0.180 0.250 0.234
0.820 0.750 0.766
0.240 0.750 0.463
0.348 0.250 0.890
0.652 0.750 0.110
0.760 0.250 0.537
0.147 0.750 0.039
0.294 0.250 0.658
0.706 0.750 0.342
0.853 0.250 0.961
```

Computed properties:
SG: No. 11
V (Å³ per cell): 270.8
Formation energy (eV per formula unit): -0.8
Density of states at the Fermi level (states/eV/f.u.): 5.10
M_tot (μB per cell): 0.00